Entry from Alexandria: a relaxed structure of Mg2ZnSn2 (PBE).

abc: 5.6014 7.0078 7.4503
angles: 118.05 112.08 90.00
Fractional positions:
Sn1 0.8394 0.1096 0.6787
Sn2 0.1606 0.8904 0.3213
Zn1 0.7500 0.5000 0.0000
Mg1 0.5912 0.9375 0.1823
Sn3 0.6606 0.4309 0.3213
Mg2 0.9088 0.7552 0.8177
Sn4 0.3394 0.5691 0.6787
Mg3 0.4088 0.0625 0.8177
Zn2 0.2500 0.5000 0.0000
Mg4 0.0912 0.2448 0.1823

As for the calculated formation energy: -0.26 eV/f.u. Its energy above the most stable polymorph in this dataset is 0.00 eV/f.u. The mass density comes out at 5.00 g/cm³. Its space-group type is Ibam.